Entry 1:
This record from Alexandria via LeMat-Bulk describes a relaxed UTa2Nb crystal. The functional is PBE.

a = 4.758 Å, b = 4.758 Å, c = 4.758 Å
α = 60.00°, β = 60.00°, γ = 60.00°
Positions (direct):
U  0.000  0.000  0.000
Ta  0.250  0.250  0.250
Ta  0.750  0.750  0.750
Nb  0.500  0.500  0.500

Values from the calculation:
Energy above the most stable polymorph in this dataset: 0 meV/atom
SG: Fm-3m (225)

=====

Entry 2:
This record from Alexandria via LeMat-Bulk describes a relaxed AcAs2SeO8 crystal. The functional is PBE.

a = 5.969 Å, b = 5.969 Å, c = 6.564 Å
α = 112.01°, β = 112.01°, γ = 52.61°
Positions (direct):
Ac  0.000  0.000  0.000
As  0.205  0.205  0.667
As  0.795  0.795  0.333
Se  0.500  0.500  0.500
O  0.128  0.639  0.263
O  0.172  0.172  0.392
O  0.361  0.872  0.737
O  0.374  0.374  0.844
O  0.626  0.626  0.156
O  0.639  0.128  0.263
O  0.828  0.828  0.608
O  0.872  0.361  0.737

Values from the calculation:
SG: C2/m (12)
Raw formation energy: -1.49 eV per atom

=====

Entry 3:
This record from Alexandria via LeMat-Bulk describes a relaxed PW3 crystal. The functional is PBE.

a = 7.398 Å, b = 7.398 Å, c = 7.398 Å
α = 96.20°, β = 96.20°, γ = 141.64°
Positions (direct):
P  0.000  0.292  0.292
P  0.000  0.708  0.708
P  0.292  0.000  0.292
P  0.708  0.000  0.708
W  0.027  0.027  0.600
W  0.146  0.500  0.646
W  0.174  0.362  0.000
W  0.362  0.174  0.000
W  0.426  0.426  0.400
W  0.500  0.146  0.646
W  0.500  0.854  0.354
W  0.574  0.973  0.000
W  0.638  0.638  0.812
W  0.826  0.826  0.188
W  0.854  0.500  0.354
W  0.973  0.574  0.000

Values from the calculation:
Energy above the most stable polymorph in this dataset: 0 meV/atom
SG: I-42m (121)

=====

Entry 4:
This record from Alexandria via LeMat-Bulk describes a relaxed Ac6Ge2Bi3Te crystal. The functional is PBE.

a = 10.675 Å, b = 10.675 Å, c = 9.587 Å
α = 102.99°, β = 102.99°, γ = 25.67°
Positions (direct):
Ac  0.008  0.008  0.257
Ac  0.329  0.329  0.426
Ac  0.331  0.331  0.900
Ac  0.669  0.669  0.100
Ac  0.671  0.671  0.574
Ac  0.992  0.992  0.743
Ge  0.166  0.166  0.332
Ge  0.834  0.834  0.668
Bi  0.162  0.162  0.834
Bi  0.500  0.500  0.500
Bi  0.838  0.838  0.166
Te  0.500  0.500  0.000

Values from the calculation:
SG: C2/m (12)
Raw formation energy: -0.98 eV per atom

=====

Entry 5:
This record from Alexandria via LeMat-Bulk describes a relaxed Cu2GeF6 crystal. The functional is PBE.

a = 9.249 Å, b = 9.249 Å, c = 3.716 Å
α = 97.13°, β = 97.13°, γ = 111.26°
Positions (direct):
Cu  0.037  0.206  0.250
Cu  0.206  0.037  0.750
Cu  0.794  0.963  0.250
Cu  0.963  0.794  0.750
Ge  0.346  0.654  0.750
Ge  0.654  0.346  0.250
F  0.059  0.243  0.768
F  0.177  0.621  0.933
F  0.243  0.059  0.268
F  0.314  0.488  0.436
F  0.379  0.823  0.567
F  0.488  0.314  0.936
F  0.512  0.686  0.064
F  0.621  0.177  0.433
F  0.686  0.512  0.564
F  0.757  0.941  0.732
F  0.823  0.379  0.067
F  0.941  0.757  0.232

Values from the calculation:
Energy above the most stable polymorph in this dataset: 56 meV/atom
SG: C2/c (15)
Raw formation energy: -1.68 eV per atom

=====

Entry 6:
This record from Alexandria via LeMat-Bulk describes a relaxed AlInTc2 crystal. The functional is PBE.

a = 3.187 Å, b = 3.187 Å, c = 6.294 Å
α = 90.00°, β = 90.00°, γ = 90.00°
Positions (direct):
Al  0.000  0.000  0.000
In  0.000  0.000  0.500
Tc  0.500  0.500  0.211
Tc  0.500  0.500  0.789

Values from the calculation:
Energy above the most stable polymorph in this dataset: 108 meV/atom
SG: P4/mmm (123)

=====

Entry 7:
This record from Alexandria via LeMat-Bulk describes a relaxed CaCuSnCl5 crystal. The functional is PBE.

a = 7.215 Å, b = 7.215 Å, c = 9.747 Å
α = 103.88°, β = 103.88°, γ = 106.86°
Positions (direct):
Ca  0.000  0.000  0.000
Ca  0.000  0.000  0.500
Cu  0.312  0.688  0.750
Cu  0.688  0.312  0.250
Sn  0.364  0.636  0.250
Sn  0.636  0.364  0.750
Cl  0.051  0.657  0.848
Cl  0.106  0.894  0.250
Cl  0.288  0.393  0.564
Cl  0.343  0.949  0.652
Cl  0.393  0.288  0.064
Cl  0.607  0.712  0.936
Cl  0.657  0.051  0.348
Cl  0.712  0.607  0.436
Cl  0.894  0.106  0.750
Cl  0.949  0.343  0.152

Values from the calculation:
SG: C2/c (15)
Raw formation energy: -1.32 eV per atom

=====

Entry 8:
This record from Alexandria via LeMat-Bulk describes a relaxed Zr3Tl2In crystal. The functional is PBE.

a = 3.199 Å, b = 3.199 Å, c = 13.281 Å
α = 90.00°, β = 90.00°, γ = 90.00°
Positions (direct):
Zr  0.000  0.000  0.000
Zr  0.000  0.000  0.337
Zr  0.000  0.000  0.663
Tl  0.500  0.500  0.168
Tl  0.500  0.500  0.832
In  0.500  0.500  0.500

Values from the calculation:
SG: P4/mmm (123)
DFT total energy: -5.68 eV per atom

=====

no.,magnetization (μB per cell)
1,0.00
2,1.00
3,0.00
4,0.00
5,0.00
6,0.00
7,0.30
8,0.00